! Co2SiBr PBE optimized geometry; values from VASP
&SYSTEM
  ibrav = 0, nat = 4, ntyp = 3
/
ATOMIC_SPECIES
Co 58.93 Co.upf
Br 79.90 Br.upf
Si 28.09 Si.upf
ATOMIC_POSITIONS crystal
Co 0.000 0.751 0.064
Br 0.500 0.750 0.750
Co 0.000 0.749 0.436
Si 0.500 0.250 0.250
CELL_PARAMETERS angstrom
2.842 0.000 0.000
0.000 2.917 0.000
0.000 -0.002 6.743
! - Energy relative to the lowest polymorph listed for this composition: 0.00 eV/f.u.
! - M_tot: 0.00 μB per formula unit
! - ΔE_f (raw): 0.053 eV per atom

---

! CoSi2Br PBE optimized geometry; values from VASP
&SYSTEM
  ibrav = 0, nat = 4, ntyp = 3
/
ATOMIC_SPECIES
Co 58.93 Co.upf
Si 28.09 Si.upf
Br 79.90 Br.upf
ATOMIC_POSITIONS crystal
Co 0.225 0.725 0.500
Si 0.783 0.283 0.500
Br 0.450 0.450 0.000
Si 0.042 0.042 0.000
CELL_PARAMETERS angstrom
-5.188 -1.758 -0.861
-1.207 -2.220 -4.936
2.806 -0.125 4.781
! - Energy relative to the lowest polymorph listed for this composition: 1.67 eV/f.u.
! - M_tot: 0.00 μB per formula unit
! - ΔE_f (raw): 0.542 eV per atom

---

! CoSi2Br PBE optimized geometry; values from VASP
&SYSTEM
  ibrav = 0, nat = 4, ntyp = 3
/
ATOMIC_SPECIES
Co 58.93 Co.upf
Si 28.09 Si.upf
Br 79.90 Br.upf
ATOMIC_POSITIONS crystal
Co 0.250 0.250 0.250
Si 0.945 0.945 0.056
Br 0.750 0.750 0.750
Si 0.555 0.555 0.444
CELL_PARAMETERS angstrom
5.897 -0.019 -0.007
5.242 2.701 -0.007
1.570 0.378 3.992
! - Energy relative to the lowest polymorph listed for this composition: 1.41 eV/f.u.
! - M_tot: 0.00 μB per formula unit
! - ΔE_f (raw): 0.477 eV per atom

---

Look up the M_tot of the third one.
0.00 μB per formula unit

---

Which formula does entry 2 have?
CoSi2Br